## Pm3Pr7Y (PBE)

Data for a geometry-optimized Pm3Pr7Y structure.

Values from the calculation:
E = -4.701 eV/atom
energy of formation from the pure elements = 0.22 eV/atom
V = 404 Å³ per cell

```
11
Lattice="-4.264 -4.802 -1.456 4.584 -3.092 -5.625 3.701 -5.361 4.447" Properties=species:S:1:pos:R:3 pbc="T T T"
Pm 4.433 -3.478 -3.911
Pm -2.132 -2.401 -0.728
Pm 3.851 -4.975 2.733
Pr -1.376 -5.788 -1.425
Pr 3.189 -9.464 -3.702
Pr 1.138 -3.003 -2.426
Pr 2.882 -10.251 -0.207
Pr 4.142 -4.226 -0.589
Pr 0.832 -3.791 1.068
Pr 5.396 -7.467 -1.209
Y 2.010 -6.627 -1.317
```

=====

## Gd3SbRu (PBE)

Data for a geometry-optimized Gd3SbRu structure.

Values from the calculation:
E = -11.539 eV/atom
V = 149 Å³ per cell
E_form (uncorrected) = -0.41 eV/atom

```
5
Lattice="5.297 0.000 0.000 0.000 5.297 0.000 0.000 0.000 5.297" Properties=species:S:1:pos:R:3 pbc="T T T"
Sb 2.649 2.649 2.649
Gd 0.000 2.649 0.000
Gd 0.000 0.000 2.649
Gd 2.649 0.000 0.000
Ru 0.000 0.000 0.000
```

=====

## CaNdPuN3 (PBE)

Data for a geometry-optimized CaNdPuN3 structure.

Values from the calculation:
E = -8.421 eV/atom
V = 229 Å³ per cell
E_form (uncorrected) = -0.74 eV/atom

```
12
Lattice="3.608 0.000 0.000 0.000 7.646 0.796 0.000 -2.171 8.089" Properties=species:S:1:pos:R:3 pbc="T T T"
Ca 0.902 4.357 1.789
Ca 2.706 1.118 7.096
Nd 2.706 4.358 7.654
Nd 0.902 1.117 1.231
Pu 0.902 -0.891 4.841
Pu 2.706 6.366 4.045
N 0.902 5.136 4.075
N 2.706 6.580 2.064
N 2.706 2.595 1.300
N 2.706 0.339 4.811
N 0.902 2.880 7.586
N 0.902 -1.105 6.822
```

=====

## MnFeCoPt2 (PBE)

Data for a geometry-optimized MnFeCoPt2 structure.

Values from the calculation:
E = -6.197 eV/atom
energy of formation from the pure elements = 1.17 eV/atom
V = 88 Å³ per cell

```
5
Lattice="4.590 0.000 0.000 0.000 4.169 0.000 0.000 0.000 4.590" Properties=species:S:1:pos:R:3 pbc="T T T"
Mn 0.000 2.085 0.000
Co 2.295 2.085 2.295
Fe 0.000 0.000 0.000
Pt 0.000 0.000 2.295
Pt 2.295 0.000 0.000
```

=====

## LiAlHg3 (PBE)

Data for a geometry-optimized LiAlHg3 structure.

Values from the calculation:
E = -1.224 eV/atom
energy of formation from the pure elements = 0.09 eV/atom
V = 143 Å³ per cell

```
5
Lattice="5.233 0.000 0.000 0.000 5.233 0.000 0.000 0.000 5.233" Properties=species:S:1:pos:R:3 pbc="T T T"
Li 2.616 2.616 2.616
Hg 0.000 2.616 0.000
Hg 0.000 0.000 2.616
Hg 2.616 0.000 0.000
Al 0.000 0.000 0.000
```

=====

## Mg2Si3Rh4 (PBE)

Data for a geometry-optimized Mg2Si3Rh4 structure.

Values from the calculation:
E = -6.166 eV/atom
V = 269 Å³ per cell
E_form (uncorrected) = -0.74 eV/atom

```
18
Lattice="5.197 0.000 -2.036 0.000 7.069 0.000 -0.111 0.000 7.368" Properties=species:S:1:pos:R:3 pbc="T T T"
Mg 0.528 4.069 1.348
Mg 4.558 3.000 3.984
Mg 1.959 0.534 5.002
Mg 3.127 6.534 0.330
Si 0.000 0.000 0.000
Si 2.599 3.534 -1.018
Si 2.661 5.302 2.968
Si 5.024 1.767 1.346
Si 2.425 1.767 2.364
Si 0.063 5.302 3.986
Rh 3.518 5.302 5.155
Rh 4.167 1.767 -0.841
Rh 1.568 1.767 0.177
Rh 0.920 5.302 6.173
Rh 0.896 6.838 2.286
Rh 4.191 0.231 3.046
Rh 1.592 3.304 4.064
Rh 3.494 3.765 1.268
```

=====

## LaSmLuZr (PBE)

Data for a geometry-optimized LaSmLuZr structure.

Values from the calculation:
E = -5.485 eV/atom
energy of formation from the pure elements = 0.19 eV/atom
V = 119 Å³ per cell

```
4
Lattice="5.524 0.000 0.000 2.762 4.784 0.000 2.762 1.595 4.510" Properties=species:S:1:pos:R:3 pbc="T T T"
Lu 8.286 4.784 3.383
Zr 2.762 1.595 1.128
Sm 0.000 0.000 0.000
La 5.524 3.189 2.255
```

=====

## Hf3Th (PBE)

Data for a geometry-optimized Hf3Th structure.

Values from the calculation:
E = -9.166 eV/atom
energy of formation from the pure elements = 0.15 eV/atom
V = 99 Å³ per cell

```
4
Lattice="3.244 0.000 0.000 0.000 5.688 0.000 -1.622 -2.844 5.362" Properties=species:S:1:pos:R:3 pbc="T T T"
Hf 0.000 1.829 2.606
Hf 1.622 2.939 0.000
Hf 1.622 -1.015 2.756
Th 0.000 0.039 0.000
```

=====

The highest E belongs to which entry? LiAlHg3

=====

What is the formula in the seventh record? LaSmLuZr